1.
VASP calculation (PBE-GGA) on an optimized crystal structure of CeTlZn2.

The structure belongs to space group P4/mmm (No. 123); the cell edges are 3.587, 3.587 and 7.164 Å and the angles 90.00°, 90.00° and 90.00°. The inequivalent atoms are Ce at (0.000, 0.000, 0.000), Tl at (0.000, 0.000, 0.500) and Zn at (0.500, 0.500, 0.262).

The formation energy is -48 meV per atom.

=====

2.
VASP calculation (PBE-GGA) on an optimized crystal structure of CeTlZn.

The structure belongs to space group P3m1 (No. 156); the cell edges are 4.8417, 4.8417 and 3.6558 Å and the angles 90.00°, 90.00° and 120.00°. The inequivalent atoms are Ce at (0.0000, 0.0000, 0.0000), Tl at (0.3333, 0.6667, 0.5007) and Zn at (0.6667, 0.3333, 0.4987).

The formation energy is -211 meV per atom.

=====

3.
VASP calculation (PBE-GGA) on an optimized crystal structure of Ce3TlZn8.

The structure belongs to space group R3m (No. 160, hexagonal axes); the cell edges are 5.5251, 5.5251 and 27.1446 Å and the angles 90.00°, 90.00° and 120.00°. The inequivalent atoms are Ce at (0.0000, 0.0000, 0.0000), Ce at (0.0000, 0.0000, 0.1268), Ce at (0.0000, 0.0000, 0.6255), Tl at (0.0000, 0.0000, 0.4993), Zn at (0.0000, 0.0000, 0.3142), Zn at (0.0000, 0.0000, 0.8113), Zn at (0.1677, 0.3354, 0.8979) and Zn at (0.1682, 0.3364, 0.3951).

The formation energy is -187 meV per atom.

=====

4.
VASP calculation (PBE-GGA) on an optimized crystal structure of Ce7TlZn4.

The structure belongs to space group C2/m (No. 12); the cell edges are 13.881, 5.888 and 8.933 Å and the angles 90.00°, 122.51° and 90.00°. The inequivalent atoms are Ce at (0.000, 0.000, 0.000), Ce at (0.042, 0.500, 0.395), Ce at (0.200, 0.500, 0.900), Ce at (0.229, 0.000, 0.708), Tl at (0.000, 0.500, 0.000), Zn at (0.012, 0.000, 0.673) and Zn at (0.200, 0.000, 0.358).

The formation energy is -13 meV per atom.

=====

5.
VASP calculation (PBE-GGA) on an optimized crystal structure of Ce4TlZn2.

The structure belongs to space group R-3m (No. 166, hexagonal axes); the cell edges are 5.2315, 5.2315 and 21.5105 Å and the angles 90.00°, 90.00° and 120.00°. The inequivalent atoms are Ce at (0.0000, 0.0000, 0.0814), Ce at (0.0000, 0.0000, 0.2346), Tl at (0.0000, 0.0000, 0.5000) and Zn at (0.0000, 0.0000, 0.3688).

The energy above the most stable polymorph in this dataset comes out at 0.195 eV/atom. The formation energy is 7 meV per atom.

=====

6.
VASP calculation (PBE-GGA) on an optimized crystal structure of CeTl2Zn.

The structure belongs to space group I4/mmm (No. 139); the cell edges are 4.857, 4.857 and 17.102 Å and the angles 90.00°, 90.00° and 90.00°. The inequivalent atoms are Ce at (0.000, 0.000, 0.136), Tl at (0.000, 0.000, 0.352), Tl at (0.000, 0.500, 0.000) and Zn at (0.000, 0.500, 0.250).

The formation energy is -212 meV per atom.

=====

7.
VASP calculation (PBE-GGA) on an optimized crystal structure of Ce3Tl4Zn2.

The structure belongs to space group C2/m (No. 12); the cell edges are 11.370, 4.955 and 9.299 Å and the angles 90.00°, 116.72° and 90.00°. The inequivalent atoms are Ce at (0.000, 0.000, 0.000), Ce at (0.163, 0.500, 0.666), Tl at (0.078, 0.000, 0.402), Tl at (0.192, 0.500, 0.036) and Zn at (0.115, 0.500, 0.285).

The formation energy is -190 meV per atom.

=====

8.
VASP calculation (PBE-GGA) on an optimized crystal structure of CeZrTl2.

The structure belongs to space group P4/mmm (No. 123); the cell edges are 3.338, 3.338 and 9.056 Å and the angles 90.00°, 90.00° and 90.00°. The inequivalent atoms are Ce at (0.000, 0.000, 0.000), Zr at (0.000, 0.000, 0.500) and Tl at (0.500, 0.500, 0.265).

The formation energy is -143 meV per atom.